Density functional theory data (PBE) for crystalline Cd2AuBr at its relaxed geometry.

As for the formation energy from raw total energies: -0.1172 eV per atom. The distance to the lowest polymorph of the same formula comes out at 135 meV per atom. As for the crystal system: trigonal.

The structure belongs to space group R3m (No. 160, hexagonal axes); the cell edges are 3.7689, 3.7689 and 24.4259 Å and the angles 90.00°, 90.00° and 120.00°. The inequivalent atoms are Cd at (0.0000, 0.0000, 0.0000), Cd at (0.0000, 0.0000, 0.2457), Au at (0.0000, 0.0000, 0.7382) and Br at (0.0000, 0.0000, 0.5003).

=====

Density functional theory data (PBE) for crystalline NaPm2PbO5 at its relaxed geometry.

As for the formation energy from raw total energies: -2.1566 eV per atom. As for the crystal system: tetragonal.

The structure belongs to space group I4/mcm (No. 140); the cell edges are 6.818, 6.818 and 12.699 Å and the angles 90.00°, 90.00° and 90.00°. The inequivalent atoms are Na at (0.000, 0.000, 0.250), Pm at (0.176, 0.324, 0.000), Pb at (0.000, 0.500, 0.250), O at (0.000, 0.000, 0.000) and O at (0.147, 0.353, 0.382).

=====

Density functional theory data (PBE) for crystalline MnFeNi2 at its relaxed geometry.

As for the crystal system: tetragonal. The value obtained for the calculated total energy is -29.062 eV/cell.

The structure belongs to space group P4mm (No. 99); the cell edges are 2.472, 2.472 and 7.145 Å and the angles 90.00°, 90.00° and 90.00°. The inequivalent atoms are Mn at (0.000, 0.000, 0.000), Fe at (0.500, 0.500, 0.751), Ni at (0.000, 0.000, 0.501) and Ni at (0.500, 0.500, 0.247).

=====

Density functional theory data (PBE) for crystalline TlRhSCl2 at its relaxed geometry.

As for the formation energy from raw total energies: 0.6236 eV per atom. The distance to the lowest polymorph of the same formula comes out at 1016 meV per atom. As for the crystal system: tetragonal.

The structure belongs to space group P4/mmm (No. 123); the cell edges are 5.236, 5.236 and 5.182 Å and the angles 90.00°, 90.00° and 90.00°. The inequivalent atoms are Tl at (0.000, 0.000, 0.000), Rh at (0.500, 0.500, 0.500), S at (0.000, 0.000, 0.500) and Cl at (0.000, 0.500, 0.000).

=====

Density functional theory data (PBE) for crystalline Sr2AsCl at its relaxed geometry.

As for the formation energy from raw total energies: -1.6936 eV per atom. As for the crystal system: monoclinic.

The structure belongs to space group C2/c (No. 15); the cell edges are 8.891, 17.744 and 7.830 Å and the angles 90.00°, 124.58° and 90.00°. The inequivalent atoms are Sr at (0.219, 0.063, 0.225), Sr at (0.236, 0.188, 0.724), As at (0.000, 0.067, 0.750), As at (0.000, 0.192, 0.250), Cl at (0.000, 0.318, 0.750) and Cl at (0.000, 0.443, 0.250).

=====

Density functional theory data (PBE) for crystalline ZrZn4Au2 at its relaxed geometry.

As for the crystal system: orthorhombic. The value obtained for the calculated total energy is -86.955 eV/cell.

The structure belongs to space group Pnma (No. 62); the cell edges are 16.483, 3.629 and 8.367 Å and the angles 90.00°, 90.00° and 90.00°. The inequivalent atoms are Zr at (0.148, 0.250, 0.115), Zn at (0.046, 0.750, 0.919), Zn at (0.064, 0.250, 0.484), Zn at (0.183, 0.750, 0.394), Zn at (0.194, 0.750, 0.849), Au at (0.030, 0.750, 0.256) and Au at (0.211, 0.250, 0.625).

=====

What is the formula in the sixth record?
ZrZn4Au2

=====

Copy entry 5 word for word.
Density functional theory data (PBE) for crystalline Sr2AsCl at its relaxed geometry.

As for the formation energy from raw total energies: -1.6936 eV per atom. As for the crystal system: monoclinic.

The structure belongs to space group C2/c (No. 15); the cell edges are 8.891, 17.744 and 7.830 Å and the angles 90.00°, 124.58° and 90.00°. The inequivalent atoms are Sr at (0.219, 0.063, 0.225), Sr at (0.236, 0.188, 0.724), As at (0.000, 0.067, 0.750), As at (0.000, 0.192, 0.250), Cl at (0.000, 0.318, 0.750) and Cl at (0.000, 0.443, 0.250).

=====

What did the first record say?
Density functional theory data (PBE) for crystalline Cd2AuBr at its relaxed geometry.

As for the formation energy from raw total energies: -0.1172 eV per atom. The distance to the lowest polymorph of the same formula comes out at 135 meV per atom. As for the crystal system: trigonal.

The structure belongs to space group R3m (No. 160, hexagonal axes); the cell edges are 3.7689, 3.7689 and 24.4259 Å and the angles 90.00°, 90.00° and 120.00°. The inequivalent atoms are Cd at (0.0000, 0.0000, 0.0000), Cd at (0.0000, 0.0000, 0.2457), Au at (0.0000, 0.0000, 0.7382) and Br at (0.0000, 0.0000, 0.5003).

=====

Which formula does entry 3 have?
MnFeNi2